This record from Alexandria via LeMat-Bulk describes a geometry-optimized TbTh4Sc6 structure. The functional is PBE-GGA.

- Formation energy: 0.461 eV per atom

abc: 8.6243 8.6243 5.1019
angles: 90.00 90.00 120.00
Last column: nearest neighbours and their distance in Å.
Space group P-6m2 (No. 187)
Asymmetric unit:
Tb1 0.0000 0.0000 0.0000 [1 per cell]  6 Th 3.88, 12 Sc 4.07-4.35
Th1 0.3333 0.6667 0.0000 [1 per cell]  9 Sc 3.07-3.13
Th2 0.3923 0.1962 0.5000 [3 per cell]  6 Sc 3.06-3.23
Sc1 0.2124 0.4248 0.5000 [3 per cell]  4 Th 3.06-3.13, 2 Sc 3.13
Sc2 0.5386 0.0771 0.0000 [3 per cell]  5 Th 3.07-3.23, 2 Sc 3.31



This record from Alexandria via LeMat-Bulk describes a geometry-optimized SnPRhO2 structure. The functional is PBE-GGA.

- Energy above the lowest structure with this stoichiometry: 0 meV per atom
- Formation energy from raw total energies: -0.196 eV/atom

abc: 3.9266 3.9266 4.9647
angles: 90.00 90.00 90.00
Last column: nearest neighbours and their distance in Å.
Space group P4/mmm (No. 123)
Asymmetric unit:
Sn1 0.0000 0.0000 0.0000 [1 per cell]  4 P 2.78
P1 0.5000 0.5000 0.0000 [1 per cell]  2 Rh 2.48, 4 Sn 2.78
Rh1 0.5000 0.5000 0.5000 [1 per cell]  4 O 1.96
O1 0.0000 0.5000 0.5000 [2 per cell]  2 Rh 1.96



Number 1: density 6856 kg/m3, D(E_F) 18.9 states/eV/f.u.. Number 2: density 6174 kg/m3, D(E_F) 3.9 states/eV/f.u..